A plane-wave DFT calculation with PBE was carried out for crystalline SrLi8Pt2 at its relaxed geometry.

```
data_SrLi8Pt2
_cell_length_a 5.932
_cell_length_b 5.932
_cell_length_c 8.729
_cell_angle_alpha 90.00
_cell_angle_beta 90.00
_cell_angle_gamma 90.00
_symmetry_space_group_name_H-M 'P 1'
_symmetry_Int_Tables_number 1
loop_
_symmetry_equiv_pos_as_xyz
'x,y,z'
loop_
_atom_site_label
_atom_site_fract_x
_atom_site_fract_y
_atom_site_fract_z
Sr1 0.000 0.000 0.000
Li1 0.250 0.250 0.341
Li2 0.250 0.250 0.659
Li3 0.250 0.750 0.341
Li4 0.250 0.750 0.659
Li5 0.750 0.250 0.341
Li6 0.750 0.250 0.659
Li7 0.750 0.750 0.341
Li8 0.750 0.750 0.659
Pt1 0.000 0.500 0.500
Pt2 0.500 0.000 0.500
```

## Properties
Spin magnetization ... 0.0 μB per formula unit
Energy of formation ... -0.0657 eV per atom

---

A plane-wave DFT calculation with PBE was carried out for crystalline Pm3Nd4Tm5 at its relaxed geometry.

```
data_Pm3Nd4Tm5
_cell_length_a 6.224
_cell_length_b 7.179
_cell_length_c 8.796
_cell_angle_alpha 89.89
_cell_angle_beta 90.00
_cell_angle_gamma 89.93
_symmetry_space_group_name_H-M 'P 1'
_symmetry_Int_Tables_number 1
loop_
_symmetry_equiv_pos_as_xyz
'x,y,z'
loop_
_atom_site_label
_atom_site_fract_x
_atom_site_fract_y
_atom_site_fract_z
Pm1 0.000 0.000 0.000
Pm2 0.169 0.249 0.668
Pm3 0.831 0.751 0.332
Nd1 0.169 0.751 0.668
Nd2 0.331 0.500 0.329
Nd3 0.669 0.500 0.671
Nd4 0.831 0.249 0.332
Tm1 0.000 0.500 0.000
Tm2 0.335 0.000 0.329
Tm3 0.500 0.248 0.000
Tm4 0.500 0.752 0.000
Tm5 0.665 0.000 0.671
```

## Properties
Spin magnetization ... 0.0 μB per formula unit
E above lowest polymorph ... 0 meV per atom
Energy of formation ... 0.0187 eV per atom

---

A plane-wave DFT calculation with PBE was carried out for crystalline ReMo2Ir at its relaxed geometry.

```
data_ReMo2Ir
_cell_length_a 9.448
_cell_length_b 9.448
_cell_length_c 9.448
_cell_angle_alpha 16.81
_cell_angle_beta 16.81
_cell_angle_gamma 16.81
_symmetry_space_group_name_H-M 'P 1'
_symmetry_Int_Tables_number 1
loop_
_symmetry_equiv_pos_as_xyz
'x,y,z'
loop_
_atom_site_label
_atom_site_fract_x
_atom_site_fract_y
_atom_site_fract_z
Re1 0.000 0.000 0.000
Mo1 0.249 0.249 0.249
Mo2 0.494 0.494 0.494
Ir1 0.747 0.747 0.747
```

## Properties
Spin magnetization ... 0.0 μB per formula unit
E above lowest polymorph ... 180 meV per atom
Energy of formation ... 0.1107 eV per atom

---

A plane-wave DFT calculation with PBE was carried out for crystalline Ba2UCuO6 at its relaxed geometry.

```
data_Ba2UCuO6
_cell_length_a 6.552
_cell_length_b 6.552
_cell_length_c 6.552
_cell_angle_alpha 112.20
_cell_angle_beta 112.20
_cell_angle_gamma 104.14
_symmetry_space_group_name_H-M 'P 1'
_symmetry_Int_Tables_number 1
loop_
_symmetry_equiv_pos_as_xyz
'x,y,z'
loop_
_atom_site_label
_atom_site_fract_x
_atom_site_fract_y
_atom_site_fract_z
Ba1 0.000 0.500 0.500
Ba2 0.500 0.000 0.500
U1 0.000 0.000 0.000
Cu1 0.500 0.500 0.000
O1 0.196 0.196 0.392
O2 0.196 0.804 0.000
O3 0.282 0.282 0.000
O4 0.718 0.718 0.000
O5 0.804 0.196 0.000
O6 0.804 0.804 0.608
```

## Properties
Uncorrected energy ... -7.126 eV per atom
Spin magnetization ... 1.0 μB per formula unit

---

A plane-wave DFT calculation with PBE was carried out for crystalline La2TbCdO at its relaxed geometry.

```
data_La2TbCdO
_cell_length_a 5.119
_cell_length_b 5.119
_cell_length_c 4.789
_cell_angle_alpha 90.00
_cell_angle_beta 90.00
_cell_angle_gamma 90.00
_symmetry_space_group_name_H-M 'P 1'
_symmetry_Int_Tables_number 1
loop_
_symmetry_equiv_pos_as_xyz
'x,y,z'
loop_
_atom_site_label
_atom_site_fract_x
_atom_site_fract_y
_atom_site_fract_z
La1 0.000 0.500 0.000
La2 0.500 0.000 0.000
Tb1 0.000 0.000 0.500
Cd1 0.500 0.500 0.500
O1 0.000 0.000 0.000
```

## Properties
Uncorrected energy ... -5.368 eV per atom
Spin magnetization ... 0.0 μB per formula unit

---

A plane-wave DFT calculation with PBE was carried out for crystalline Sm6SiGe2Se3 at its relaxed geometry.

```
data_Sm6SiGe2Se3
_cell_length_a 9.460
_cell_length_b 9.460
_cell_length_c 8.468
_cell_angle_alpha 103.64
_cell_angle_beta 103.64
_cell_angle_gamma 25.75
_symmetry_space_group_name_H-M 'P 1'
_symmetry_Int_Tables_number 1
loop_
_symmetry_equiv_pos_as_xyz
'x,y,z'
loop_
_atom_site_label
_atom_site_fract_x
_atom_site_fract_y
_atom_site_fract_z
Sm1 0.002 0.002 0.243
Sm2 0.331 0.331 0.422
Sm3 0.336 0.336 0.912
Sm4 0.664 0.664 0.088
Sm5 0.669 0.669 0.578
Sm6 0.998 0.998 0.757
Si1 0.500 0.500 0.000
Ge1 0.167 0.167 0.333
Ge2 0.833 0.833 0.667
Se1 0.167 0.167 0.833
Se2 0.500 0.500 0.500
Se3 0.833 0.833 0.167
```

## Properties
Uncorrected energy ... -5.823 eV per atom
Spin magnetization ... 0.0 μB per formula unit

---

A plane-wave DFT calculation with PBE was carried out for crystalline LiYAl3 at its relaxed geometry.

```
data_LiYAl3
_cell_length_a 4.568
_cell_length_b 4.568
_cell_length_c 4.568
_cell_angle_alpha 90.00
_cell_angle_beta 90.00
_cell_angle_gamma 90.00
_symmetry_space_group_name_H-M 'P 1'
_symmetry_Int_Tables_number 1
loop_
_symmetry_equiv_pos_as_xyz
'x,y,z'
loop_
_atom_site_label
_atom_site_fract_x
_atom_site_fract_y
_atom_site_fract_z
Li1 0.000 0.000 0.000
Y1 0.500 0.500 0.500
Al1 0.000 0.000 0.500
Al2 0.000 0.500 0.000
Al3 0.500 0.000 0.000
```

## Properties
Spin magnetization ... 0.0 μB per formula unit
E above lowest polymorph ... 310 meV per atom
Energy of formation ... 0.0315 eV per atom

---

A plane-wave DFT calculation with PBE was carried out for crystalline YNiSb2 at its relaxed geometry.

```
data_YNiSb2
_cell_length_a 3.403
_cell_length_b 3.615
_cell_length_c 7.104
_cell_angle_alpha 90.00
_cell_angle_beta 90.00
_cell_angle_gamma 90.00
_symmetry_space_group_name_H-M 'P 1'
_symmetry_Int_Tables_number 1
loop_
_symmetry_equiv_pos_as_xyz
'x,y,z'
loop_
_atom_site_label
_atom_site_fract_x
_atom_site_fract_y
_atom_site_fract_z
Y1 0.000 0.000 0.000
Ni1 0.000 0.000 0.500
Sb1 0.500 0.500 0.293
Sb2 0.500 0.500 0.707
```

## Properties
Uncorrected energy ... -5.328 eV per atom
Spin magnetization ... 0.0 μB per formula unit

---

| no. | N(E_F) (states/eV/f.u.) |
| --- | --- |
| 1 | 5.5 |
| 2 | 15.4 |
| 3 | 3.0 |
| 4 | 6.1 |
| 5 | 4.1 |
| 6 | 3.0 |
| 7 | 2.7 |
| 8 | 3.4 |